[1]
Sr2AuCl GGA-PBEsol relaxed; raw formation energy = -1024 meV per atom; SG = Fm-3m, No. 225
1.0
-4.2563 -1.8711 -2.7799
0.1700 -4.9419 -2.2121
-3.0327 -3.9920 2.0523
Sr Au Cl
2 1 1
Cartesian
-5.3393 -8.1037 -2.2048
-1.7798 -2.7012 -0.7349
-3.5595 -5.4025 -1.4699
0.0000 0.0000 0.0000


[2]
Sr2AuCl GGA-PBEsol relaxed; raw formation energy = -1194 meV per atom; SG = P4/mmm, No. 123
1.0
-1.0013 -1.4674 -4.0289
4.2466 0.2329 -1.1402
0.8335 -5.8251 1.9144
Sr Au Cl
2 1 1
Cartesian
0.4167 -2.9125 0.9572
1.6227 -0.6172 -2.5846
0.0000 0.0000 0.0000
2.0394 -3.5298 -1.6273


[3]
Sr2AuCl GGA-PBEsol relaxed; raw formation energy = -1112 meV per atom; SG = Imm2, No. 44
1.0
-1.6158 -1.2949 -3.4156
-2.2599 -2.4591 2.0013
-3.5972 7.3927 1.2344
Sr Au Cl
2 1 1
Cartesian
-0.4257 0.4242 0.0406
-4.1589 2.6919 -1.3886
-4.9924 4.9750 0.4756
-3.4308 1.0633 1.2198


[4]
Sr2AuCl GGA-PBEsol relaxed; raw formation energy = -1123 meV per atom; SG = Amm2, No. 38
1.0
3.8833 0.0000 0.0000
0.0000 4.8797 0.0000
-1.9416 0.0000 6.0864
Sr Au Cl
2 1 1
Cartesian
1.9416 2.4399 5.9722
0.0000 0.0000 2.9780
1.9416 0.0000 0.2055
1.9416 2.4399 3.0171


[5]
Sr2AuCl GGA-PBEsol relaxed; raw formation energy = -1234 meV per atom; SG = R-3m, No. 166
1.0
4.2906 0.0000 0.0000
2.1453 3.7158 0.0000
2.1453 1.2386 7.6828
Sr Au Cl
2 1 1
Cartesian
6.4360 3.7158 5.9101
2.1453 1.2386 1.7727
0.0000 0.0000 0.0000
4.2906 2.4772 3.8414


[6]
SrAuCl GGA-PBEsol relaxed; raw formation energy = -1187 meV per atom; SG = P3m1, No. 156
1.0
4.3423 0.0000 0.0000
-2.1711 3.7605 0.0000
0.0000 0.0000 5.5272
Sr Au Cl
1 1 1
Cartesian
2.1711 1.2535 1.9566
0.0000 0.0000 0.1782
0.0000 2.5070 3.3924


[7]
SrAu2Cl GGA-PBEsol relaxed; raw formation energy = -904 meV per atom; SG = Cmmm, No. 65
1.0
3.9575 0.0059 0.0000
-0.0508 3.9610 0.0000
0.0000 0.0000 5.8304
Sr Au Cl
1 2 1
Cartesian
1.9788 0.0030 2.9152
0.9775 0.9909 0.0000
2.9293 2.9760 0.0000
-0.0254 1.9805 2.9152


[8]
SrAu2Cl GGA-PBEsol relaxed; raw formation energy = -685 meV per atom; SG = F-43m, No. 216
1.0
4.9990 0.0000 0.0000
2.4995 4.3293 0.0000
2.4995 1.4431 4.0817
Sr Au Cl
1 2 1
Cartesian
2.4995 1.4431 1.0204
0.0000 0.0000 0.0000
7.4985 4.3293 3.0613
4.9990 2.8862 2.0408


[9]
TaAu2Cl GGA-PBEsol relaxed; raw formation energy = -124 meV per atom; SG = P4mm, No. 99
1.0
2.9159 0.0000 0.0000
0.0000 2.9159 0.0000
0.0000 0.0000 8.6851
Cl Au Ta
1 2 1
Cartesian
0.0000 0.0000 4.9240
0.0000 0.0000 8.4527
1.4579 1.4579 1.7966
1.4579 1.4579 6.5394


[10]
TaAu2Cl GGA-PBEsol relaxed; raw formation energy = 535 meV per atom; SG = P4/mmm, No. 123
1.0
2.8280 0.0000 0.0000
0.0000 5.0616 0.0000
0.0000 0.0000 5.0616
Cl Au Ta
1 2 1
Cartesian
1.4140 2.5308 2.5308
0.0000 0.0000 2.5308
0.0000 2.5308 0.0000
1.4140 0.0000 0.0000


[11]
TaAuCl2 GGA-PBEsol relaxed; raw formation energy = 335 meV per atom; SG = Pmmm, No. 47
1.0
-2.1788 1.6561 1.0705
-0.4367 -2.7767 3.4067
3.5605 2.8748 2.7996
Cl Au Ta
2 1 1
Cartesian
0.0000 0.0000 0.0000
0.6908 2.2654 1.9350
1.5619 0.0490 3.1031
-1.3078 -0.5603 2.2386


[12]
TaAu2Cl GGA-PBEsol relaxed; raw formation energy = 295 meV per atom; SG = Pmmm, No. 47
1.0
2.8926 0.0000 0.0000
0.0000 4.5536 0.0000
0.0000 0.0000 5.2592
Cl Au Ta
1 2 1
Cartesian
1.4463 0.0000 2.6296
0.0000 0.0000 0.0000
1.4463 2.2768 0.0000
0.0000 2.2768 2.6296